# PBE Ce2TmTc, optimized geometry
# V in Å³/cell: 416
# ΔH_f (0 K) in eV/atom: -0.09
# Relative energy among the computed polymorphs in meV per atom: 0.0
data_Ce2TmTc
_chemical_formula_sum 'Ce8 Tm4 Tc4'
_cell_length_a 6.067
_cell_length_b 7.128
_cell_length_c 9.617
_cell_angle_alpha 90.00
_cell_angle_beta 90.00
_cell_angle_gamma 90.00
_space_group_name_H-M_alt 'P 1'
_space_group_IT_number 1
_space_group_name_Hall 'P 1'
loop_
_atom_site_label
_atom_site_fract_x
_atom_site_fract_y
_atom_site_fract_z
Tm1 0.129 0.948 0.750
Tc1 0.105 0.423 0.250
Ce1 0.644 0.840 0.563
Tm2 0.871 0.052 0.250
Tm3 0.371 0.448 0.750
Ce2 0.144 0.660 0.437
Ce3 0.644 0.840 0.937
Ce4 0.856 0.340 0.937
Tc2 0.895 0.577 0.750
Tc3 0.605 0.077 0.750
Tc4 0.395 0.923 0.250
Ce5 0.356 0.160 0.437
Ce6 0.144 0.660 0.063
Ce7 0.856 0.340 0.563
Ce8 0.356 0.160 0.063
Tm4 0.629 0.552 0.250

# PBE CeTm4Tc2, optimized geometry
# V in Å³/cell: 357
# ΔH_f (0 K) in eV/atom: -0.06
data_CeTm4Tc2
_chemical_formula_sum 'Ce2 Tm8 Tc4'
_cell_length_a 6.321
_cell_length_b 8.080
_cell_length_c 7.661
_cell_angle_alpha 114.20
_cell_angle_beta 90.00
_cell_angle_gamma 90.00
_space_group_name_H-M_alt 'P 1'
_space_group_IT_number 1
_space_group_name_Hall 'P 1'
loop_
_atom_site_label
_atom_site_fract_x
_atom_site_fract_y
_atom_site_fract_z
Ce1 0.250 0.819 0.952
Tc1 0.250 0.263 0.975
Tm1 0.750 0.013 0.387
Tc2 0.750 0.737 0.025
Tc3 0.250 0.642 0.610
Tm2 0.250 0.254 0.322
Tm3 0.996 0.411 0.757
Ce2 0.750 0.181 0.048
Tm4 0.750 0.746 0.678
Tm5 0.496 0.589 0.243
Tc4 0.750 0.358 0.390
Tm6 0.250 0.987 0.613
Tm7 0.004 0.589 0.243
Tm8 0.504 0.411 0.757

# PBE Ce2Tm3Tc2, optimized geometry
# V in Å³/cell: 179
# ΔH_f (0 K) in eV/atom: -0.14
data_Ce2Tm3Tc2
_chemical_formula_sum 'Ce2 Tm3 Tc2'
_cell_length_a 3.825
_cell_length_b 6.130
_cell_length_c 8.641
_cell_angle_alpha 101.89
_cell_angle_beta 102.77
_cell_angle_gamma 108.16
_space_group_name_H-M_alt 'P 1'
_space_group_IT_number 1
_space_group_name_Hall 'P 1'
loop_
_atom_site_label
_atom_site_fract_x
_atom_site_fract_y
_atom_site_fract_z
Ce1 0.366 0.533 0.199
Tc1 0.981 0.182 0.780
Ce2 0.634 0.467 0.801
Tm1 0.202 0.819 0.583
Tc2 0.019 0.818 0.220
Tm2 0.500 0.000 0.000
Tm3 0.798 0.181 0.417

# PBE CeYTmTc, optimized geometry
# V in Å³/cell: 110
# ΔH_f (0 K) in eV/atom: 0.10
data_CeYTmTc
_chemical_formula_sum 'Ce1 Y1 Tm1 Tc1'
_cell_length_a 4.473
_cell_length_b 4.473
_cell_length_c 6.842
_cell_angle_alpha 89.99
_cell_angle_beta 109.09
_cell_angle_gamma 120.00
_space_group_name_H-M_alt 'P 1'
_space_group_IT_number 1
_space_group_name_Hall 'P 1'
loop_
_atom_site_label
_atom_site_fract_x
_atom_site_fract_y
_atom_site_fract_z
Ce1 0.506 0.618 0.123
Y1 0.400 0.065 0.465
Tc1 0.812 0.270 0.083
Tm1 0.974 0.852 0.826

# PBE CeUTc2, optimized geometry
# V in Å³/cell: 79
# ΔH_f (0 K) in eV/atom: 0.07
# Relative energy among the computed polymorphs in meV per atom: 259.0
data_CeUTc2
_chemical_formula_sum 'Ce1 U1 Tc2'
_cell_length_a 4.825
_cell_length_b 4.825
_cell_length_c 4.825
_cell_angle_alpha 60.00
_cell_angle_beta 60.00
_cell_angle_gamma 60.00
_space_group_name_H-M_alt 'P 1'
_space_group_IT_number 1
_space_group_name_Hall 'P 1'
loop_
_atom_site_label
_atom_site_fract_x
_atom_site_fract_y
_atom_site_fract_z
Tc1 0.750 0.750 0.750
Tc2 0.250 0.250 0.250
Ce1 0.000 0.000 0.000
U1 0.500 0.500 0.500

# PBE CeUTc2, optimized geometry
# V in Å³/cell: 80
# ΔH_f (0 K) in eV/atom: -0.06
# Relative energy among the computed polymorphs in meV per atom: 125.4
data_CeUTc2
_chemical_formula_sum 'Ce1 U1 Tc2'
_cell_length_a 3.325
_cell_length_b 3.325
_cell_length_c 7.282
_cell_angle_alpha 90.00
_cell_angle_beta 90.00
_cell_angle_gamma 90.00
_space_group_name_H-M_alt 'P 1'
_space_group_IT_number 1
_space_group_name_Hall 'P 1'
loop_
_atom_site_label
_atom_site_fract_x
_atom_site_fract_y
_atom_site_fract_z
Tc1 0.000 0.000 0.200
Tc2 0.000 0.000 0.800
U1 0.500 0.500 0.000
Ce1 0.500 0.500 0.500

# PBE Ce2UTc2, optimized geometry
# V in Å³/cell: 226
# ΔH_f (0 K) in eV/atom: -0.10
data_Ce2UTc2
_chemical_formula_sum 'Ce4 U2 Tc4'
_cell_length_a 5.740
_cell_length_b 5.740
_cell_length_c 7.788
_cell_angle_alpha 83.26
_cell_angle_beta 83.26
_cell_angle_gamma 62.63
_space_group_name_H-M_alt 'P 1'
_space_group_IT_number 1
_space_group_name_Hall 'P 1'
loop_
_atom_site_label
_atom_site_fract_x
_atom_site_fract_y
_atom_site_fract_z
Ce1 0.978 0.727 0.155
U1 0.342 0.658 0.750
Ce2 0.022 0.273 0.845
Tc1 0.249 0.500 0.509
Ce3 0.273 0.022 0.345
Tc2 0.500 0.751 0.991
Ce4 0.727 0.978 0.655
Tc3 0.751 0.500 0.491
Tc4 0.500 0.249 0.009
U2 0.658 0.342 0.250

# PBE CeUTc2, optimized geometry
# V in Å³/cell: 320
# ΔH_f (0 K) in eV/atom: -0.01
# Relative energy among the computed polymorphs in meV per atom: 182.4
data_CeUTc2
_chemical_formula_sum 'Ce4 U4 Tc8'
_cell_length_a 5.828
_cell_length_b 7.566
_cell_length_c 7.267
_cell_angle_alpha 90.00
_cell_angle_beta 90.00
_cell_angle_gamma 90.00
_space_group_name_H-M_alt 'P 1'
_space_group_IT_number 1
_space_group_name_Hall 'P 1'
loop_
_atom_site_label
_atom_site_fract_x
_atom_site_fract_y
_atom_site_fract_z
U1 0.828 0.595 0.750
Tc1 0.910 0.317 0.956
Tc2 0.590 0.817 0.956
Tc3 0.590 0.817 0.544
Tc4 0.090 0.683 0.456
U2 0.328 0.905 0.250
Ce1 0.627 0.529 0.250
Tc5 0.090 0.683 0.044
Tc6 0.410 0.183 0.456
U3 0.672 0.095 0.750
U4 0.172 0.405 0.250
Ce2 0.873 0.029 0.250
Ce3 0.373 0.471 0.750
Tc7 0.410 0.183 0.044
Tc8 0.910 0.317 0.544
Ce4 0.127 0.971 0.750

What is the formula in the third record? Ce2Tm3Tc2

Number 4 is which compound? CeYTmTc

What is the ΔH_f (0 K) in the fourth record? 0.10 eV/atom